#a
! LaNdZnHg, optimized geometry, DFT PBE-GGA; values from VASP
&SYSTEM
  ibrav = 0, nat = 4, ntyp = 4
/
ATOMIC_SPECIES
Zn 65.41 Zn.upf
La 138.91 La.upf
Hg 200.59 Hg.upf
Nd 144.24 Nd.upf
ATOMIC_POSITIONS crystal
Zn 0.000 0.000 0.366
La 0.500 0.500 0.125
Hg 0.000 0.000 0.848
Nd 0.500 0.500 0.589
CELL_PARAMETERS angstrom
3.788 0.000 0.000
0.000 3.788 0.000
0.000 0.000 7.628
! - DOS(E_F): 3.92 states/eV/f.u.
! - Crystal system: tetragonal
! - ρ: 8333 kg/m3
! - Volume: 109.4 Å³/cell

#b
! LaNdZnHg, optimized geometry, DFT PBE-GGA; values from VASP
&SYSTEM
  ibrav = 0, nat = 4, ntyp = 4
/
ATOMIC_SPECIES
Zn 65.41 Zn.upf
La 138.91 La.upf
Nd 144.24 Nd.upf
Hg 200.59 Hg.upf
ATOMIC_POSITIONS crystal
Zn 0.000 0.000 0.000
La 0.250 0.250 0.250
Nd 0.750 0.750 0.750
Hg 0.500 0.500 0.500
CELL_PARAMETERS angstrom
-4.274 0.375 3.263
-4.017 -3.572 -0.400
-0.751 -3.657 3.888
! - DOS(E_F): 4.47 states/eV/f.u.
! - Crystal system: cubic
! - ρ: 8236 kg/m3
! - Volume: 110.7 Å³/cell

How do the energies compare? Relative to the most stable structure, in kJ/mol of atoms: #a 0.0; #b 2.4.